No. 1
A plane-wave DFT calculation with GGA-PBE was carried out for a geometry-optimized SmDy2Ge4Au4 structure.

Properties
- energy (eV per atom) = -4.83

Cell lengths 8.436, 8.436, 8.436 Å; angles 150.04, 130.09, 59.31 degrees
Atoms (fractional coordinates):
Sm (0.000, 0.000, 0.000)
Dy (0.374, 0.874, 0.500)
Dy (0.626, 0.126, 0.500)
Ge (0.217, 0.217, 0.000)
Ge (0.318, 0.500, 0.818)
Ge (0.682, 0.500, 0.182)
Ge (0.783, 0.783, 0.000)
Au (0.035, 0.333, 0.701)
Au (0.368, 0.667, 0.701)
Au (0.632, 0.333, 0.299)
Au (0.965, 0.667, 0.299)


No. 2
A plane-wave DFT calculation with GGA-PBE was carried out for a geometry-optimized DyGeTe3Au structure.

Properties
- energy (eV per atom) = -4.21

Cell lengths 13.302, 4.428, 12.161 Å; angles 90.00, 90.00, 90.00 degrees
Atoms (fractional coordinates):
Dy (0.032, 0.250, 0.200)
Dy (0.468, 0.750, 0.700)
Dy (0.532, 0.250, 0.300)
Dy (0.968, 0.750, 0.800)
Ge (0.232, 0.750, 0.893)
Ge (0.268, 0.250, 0.393)
Ge (0.732, 0.750, 0.607)
Ge (0.768, 0.250, 0.107)
Te (0.054, 0.750, 0.370)
Te (0.094, 0.250, 0.945)
Te (0.182, 0.750, 0.669)
Te (0.318, 0.250, 0.169)
Te (0.406, 0.750, 0.445)
Te (0.446, 0.250, 0.870)
Te (0.554, 0.750, 0.130)
Te (0.594, 0.250, 0.555)
Te (0.682, 0.750, 0.831)
Te (0.818, 0.250, 0.331)
Te (0.906, 0.750, 0.055)
Te (0.946, 0.250, 0.630)
Au (0.206, 0.750, 0.224)
Au (0.294, 0.250, 0.724)
Au (0.706, 0.750, 0.276)
Au (0.794, 0.250, 0.776)